1.
This record from Alexandria describes a geometry-optimized InRe4Sb structure. The functional is PBE-GGA.

a = 7.5615 Å, b = 7.5615 Å, c = 7.5615 Å
α = 90.00°, β = 90.00°, γ = 90.00°
Space group F-43m (No. 216)
One atom of each set of equivalent atoms:
1 In 0.0000 0.0000 0.0000 x4
2 Re 0.1247 0.1247 0.6247 x16
3 Sb 0.2500 0.2500 0.2500 x4

M_tot: 0.000 μB per atom
Uncorrected energy: -8.77 eV per atom
E_form (uncorrected): 64.5 kJ per mole of atoms

---

2.
This record from Alexandria describes a geometry-optimized InReSb2 structure. The functional is PBE-GGA.

a = 5.3639 Å, b = 11.4977 Å, c = 3.3017 Å
α = 90.00°, β = 90.00°, γ = 90.00°
Space group Cmmm (No. 65)
One atom of each set of equivalent atoms:
1 In 0.0000 0.0000 0.0000 x2
2 Re 0.0000 0.5000 0.0000 x2
3 Sb 0.0000 0.3146 0.5000 x4

M_tot: 0.060 μB per atom
Uncorrected energy: -5.56 eV per atom
E_form (uncorrected): 28.6 kJ per mole of atoms

---

3.
This record from Alexandria describes a geometry-optimized InReSb2 structure. The functional is PBE-GGA.

a = 5.9975 Å, b = 8.0940 Å, c = 3.5597 Å
α = 90.00°, β = 90.00°, γ = 90.00°
Space group Cmmm (No. 65)
One atom of each set of equivalent atoms:
1 In 0.0000 0.0000 0.0000 x2
2 Re 0.0000 0.5000 0.0000 x2
3 Sb 0.2500 0.2500 0.5000 x4

M_tot: 0.000 μB per atom
Uncorrected energy: -5.10 eV per atom
E_form (uncorrected): 72.9 kJ per mole of atoms

---

The highest E_form (uncorrected) belongs to which entry?
number 3

---

Which value of M_tot does entry 3 give?
0.000 μB per atom

---

Copy entry 2 word for word.
This record from Alexandria describes a geometry-optimized InReSb2 structure. The functional is PBE-GGA.

a = 5.3639 Å, b = 11.4977 Å, c = 3.3017 Å
α = 90.00°, β = 90.00°, γ = 90.00°
Space group Cmmm (No. 65)
One atom of each set of equivalent atoms:
1 In 0.0000 0.0000 0.0000 x2
2 Re 0.0000 0.5000 0.0000 x2
3 Sb 0.0000 0.3146 0.5000 x4

M_tot: 0.060 μB per atom
Uncorrected energy: -5.56 eV per atom
E_form (uncorrected): 28.6 kJ per mole of atoms